#1
# Nd8Dy2Mg | Alexandria | GGA-PBE | optimized geometry
# Fermi-level density of states ... 32.07 states/eV/cell
# Calculated volume ... 34.1 A^3/atom
# Theoretical density ... 6.66 g/cm3
# Magnetic moment ... 0.00 μB per formula unit
data_Nd8Dy2Mg
_chemical_formula_sum 'Nd16 Dy4 Mg2'
_cell_length_a 16.442
_cell_length_b 6.792
_cell_length_c 6.859
_cell_angle_alpha 90.00
_cell_angle_beta 101.88
_cell_angle_gamma 90.00
_space_group_name_H-M_alt 'C 1 2/m 1'
_space_group_IT_number 12
_space_group_name_Hall '-C 2y'
loop_
_atom_site_label
_atom_site_fract_x
_atom_site_fract_y
_atom_site_fract_z
_atom_site_occupancy
Nd1 0.080 0.239 0.387 1
Nd2 0.099 0.000 0.923 1
Nd3 0.245 0.500 0.316 1
Dy1 0.184 0.500 0.795 1
Mg1 0.000 0.500 0.000 1

---

#2
# Nd8Dy2Mg | Alexandria | GGA-PBE | optimized geometry
# Fermi-level density of states ... 38.64 states/eV/cell
# Calculated volume ... 34.4 A^3/atom
# Theoretical density ... 6.60 g/cm3
# Magnetic moment ... 0.00 μB per formula unit
data_Nd8Dy2Mg
_chemical_formula_sum 'Nd16 Dy4 Mg2'
_cell_length_a 5.662
_cell_length_b 7.760
_cell_length_c 17.221
_cell_angle_alpha 90.00
_cell_angle_beta 90.00
_cell_angle_gamma 90.00
_space_group_name_H-M_alt 'I m m m'
_space_group_IT_number 71
_space_group_name_Hall '-I 2 2'
loop_
_atom_site_label
_atom_site_fract_x
_atom_site_fract_y
_atom_site_fract_z
_atom_site_occupancy
Nd1 0.000 0.000 0.176 1
Nd2 0.000 0.218 0.365 1
Nd3 0.000 0.267 0.000 1
Dy1 0.000 0.500 0.195 1
Mg1 0.000 0.500 0.500 1

---

Least stable: #1

---

#1
# NdDyMgRu | Alexandria | GGA-PBE | optimized geometry
# Fermi-level density of states ... 15.34 states/eV/cell
# Calculated volume ... 23.5 A^3/atom
# Theoretical density ... 7.64 g/cm3
# Magnetic moment ... 0.00 μB per formula unit
data_NdDyMgRu
_chemical_formula_sum 'Nd4 Dy4 Mg4 Ru4'
_cell_length_a 7.217
_cell_length_b 7.217
_cell_length_c 7.217
_cell_angle_alpha 90.00
_cell_angle_beta 90.00
_cell_angle_gamma 90.00
_space_group_name_H-M_alt 'F -4 3 m'
_space_group_IT_number 216
_space_group_name_Hall 'F -4 2 3'
loop_
_atom_site_label
_atom_site_fract_x
_atom_site_fract_y
_atom_site_fract_z
_atom_site_occupancy
Nd1 0.000 0.000 0.000 1
Dy1 0.000 0.000 0.500 1
Mg1 0.250 0.250 0.750 1
Ru1 0.250 0.250 0.250 1

---

#2
# NdDyMgRu | Alexandria | GGA-PBE | optimized geometry
# Fermi-level density of states ... 3.62 states/eV/cell
# Calculated volume ... 25.5 A^3/atom
# Theoretical density ... 7.04 g/cm3
# Magnetic moment ... 0.00 μB per formula unit
data_NdDyMgRu
_chemical_formula_sum 'Nd1 Dy1 Mg1 Ru1'
_cell_length_a 3.443
_cell_length_b 3.443
_cell_length_c 8.598
_cell_angle_alpha 90.00
_cell_angle_beta 90.00
_cell_angle_gamma 90.00
_space_group_name_H-M_alt 'P 4 m m'
_space_group_IT_number 99
_space_group_name_Hall 'P 4 -2'
loop_
_atom_site_label
_atom_site_fract_x
_atom_site_fract_y
_atom_site_fract_z
_atom_site_occupancy
Nd1 0.000 0.000 0.000 1
Dy1 0.000 0.000 0.605 1
Mg1 0.500 0.500 0.311 1
Ru1 0.500 0.500 0.792 1

---

Least stable: #1

---

#1
# NdDyThMg | Alexandria | GGA-PBE | optimized geometry
# Fermi-level density of states ... 3.88 states/eV/cell
# Calculated volume ... 30.5 A^3/atom
# Theoretical density ... 7.67 g/cm3
# Magnetic moment ... 0.00 μB per formula unit
data_NdDyThMg
_chemical_formula_sum 'Nd1 Dy1 Th1 Mg1'
_cell_length_a 3.618
_cell_length_b 3.618
_cell_length_c 9.312
_cell_angle_alpha 90.00
_cell_angle_beta 90.00
_cell_angle_gamma 90.00
_space_group_name_H-M_alt 'P 4 m m'
_space_group_IT_number 99
_space_group_name_Hall 'P 4 -2'
loop_
_atom_site_label
_atom_site_fract_x
_atom_site_fract_y
_atom_site_fract_z
_atom_site_occupancy
Nd1 0.000 0.000 0.000 1
Dy1 0.000 0.000 0.482 1
Th1 0.500 0.500 0.736 1
Mg1 0.500 0.500 0.249 1

---

#2
# NdDyThMg | Alexandria | GGA-PBE | optimized geometry
# Fermi-level density of states ... 27.82 states/eV/cell
# Calculated volume ... 30.7 A^3/atom
# Theoretical density ... 7.62 g/cm3
# Magnetic moment ... 0.00 μB per formula unit
data_NdDyThMg
_chemical_formula_sum 'Nd4 Dy4 Th4 Mg4'
_cell_length_a 7.888
_cell_length_b 7.888
_cell_length_c 7.888
_cell_angle_alpha 90.00
_cell_angle_beta 90.00
_cell_angle_gamma 90.00
_space_group_name_H-M_alt 'F -4 3 m'
_space_group_IT_number 216
_space_group_name_Hall 'F -4 2 3'
loop_
_atom_site_label
_atom_site_fract_x
_atom_site_fract_y
_atom_site_fract_z
_atom_site_occupancy
Nd1 0.000 0.000 0.000 1
Dy1 0.000 0.000 0.500 1
Th1 0.250 0.250 0.250 1
Mg1 0.250 0.250 0.750 1

---

Least stable: #2

---

#1
# NdDyTmMg | Alexandria | GGA-PBE | optimized geometry
# Fermi-level density of states ... 6.34 states/eV/cell
# Calculated volume ... 30.7 A^3/atom
# Theoretical density ... 6.77 g/cm3
# Magnetic moment ... 0.00 μB per formula unit
data_NdDyTmMg
_chemical_formula_sum 'Nd1 Dy1 Tm1 Mg1'
_cell_length_a 3.450
_cell_length_b 3.486
_cell_length_c 10.347
_cell_angle_alpha 90.00
_cell_angle_beta 99.56
_cell_angle_gamma 90.00
_space_group_name_H-M_alt 'P 1 m 1'
_space_group_IT_number 6
_space_group_name_Hall 'P -2y'
loop_
_atom_site_label
_atom_site_fract_x
_atom_site_fract_y
_atom_site_fract_z
_atom_site_occupancy
Nd1 0.000 0.000 0.000 1
Dy1 0.153 0.500 0.305 1
Tm1 0.773 0.000 0.544 1
Mg1 0.385 0.500 0.766 1

---

#2
# NdDyTmMg | Alexandria | GGA-PBE | optimized geometry
# Fermi-level density of states ... 18.12 states/eV/cell
# Calculated volume ... 29.9 A^3/atom
# Theoretical density ... 6.94 g/cm3
# Magnetic moment ... 0.00 μB per formula unit
data_NdDyTmMg
_chemical_formula_sum 'Nd4 Dy4 Tm4 Mg4'
_cell_length_a 7.821
_cell_length_b 7.821
_cell_length_c 7.821
_cell_angle_alpha 90.00
_cell_angle_beta 90.00
_cell_angle_gamma 90.00
_space_group_name_H-M_alt 'F -4 3 m'
_space_group_IT_number 216
_space_group_name_Hall 'F -4 2 3'
loop_
_atom_site_label
_atom_site_fract_x
_atom_site_fract_y
_atom_site_fract_z
_atom_site_occupancy
Nd1 0.000 0.000 0.000 1
Dy1 0.000 0.000 0.500 1
Tm1 0.250 0.250 0.250 1
Mg1 0.250 0.250 0.750 1

---

Least stable: #1

---

#1
# NdDyYMg | Alexandria | GGA-PBE | optimized geometry
# Fermi-level density of states ... 4.83 states/eV/cell
# Calculated volume ... 30.6 A^3/atom
# Theoretical density ... 5.70 g/cm3
# Magnetic moment ... 0.00 μB per formula unit
data_NdDyYMg
_chemical_formula_sum 'Nd1 Dy1 Y1 Mg1'
_cell_length_a 3.670
_cell_length_b 3.670
_cell_length_c 9.078
_cell_angle_alpha 90.00
_cell_angle_beta 90.00
_cell_angle_gamma 90.00
_space_group_name_H-M_alt 'P 4 m m'
_space_group_IT_number 99
_space_group_name_Hall 'P 4 -2'
loop_
_atom_site_label
_atom_site_fract_x
_atom_site_fract_y
_atom_site_fract_z
_atom_site_occupancy
Nd1 0.000 0.000 0.000 1
Dy1 0.500 0.500 0.273 1
Y1 0.500 0.500 0.723 1
Mg1 0.000 0.000 0.498 1

---

#2
# NdDyYMg | Alexandria | GGA-PBE | optimized geometry
# Fermi-level density of states ... 22.85 states/eV/cell
# Calculated volume ... 30.5 A^3/atom
# Theoretical density ... 5.71 g/cm3
# Magnetic moment ... 0.00 μB per formula unit
data_NdDyYMg
_chemical_formula_sum 'Nd4 Dy4 Y4 Mg4'
_cell_length_a 7.876
_cell_length_b 7.876
_cell_length_c 7.876
_cell_angle_alpha 90.00
_cell_angle_beta 90.00
_cell_angle_gamma 90.00
_space_group_name_H-M_alt 'F -4 3 m'
_space_group_IT_number 216
_space_group_name_Hall 'F -4 2 3'
loop_
_atom_site_label
_atom_site_fract_x
_atom_site_fract_y
_atom_site_fract_z
_atom_site_occupancy
Nd1 0.000 0.000 0.000 1
Dy1 0.250 0.250 0.750 1
Y1 0.000 0.000 0.500 1
Mg1 0.250 0.250 0.250 1

---

Least stable: #2

---

#1
# NdDyMgZn | Alexandria | GGA-PBE | optimized geometry
# Fermi-level density of states ... 4.45 states/eV/cell
# Calculated volume ... 26.1 A^3/atom
# Theoretical density ... 6.31 g/cm3
# Magnetic moment ... 0.00 μB per formula unit
data_NdDyMgZn
_chemical_formula_sum 'Nd1 Dy1 Mg1 Zn1'
_cell_length_a 3.655
_cell_length_b 3.655
_cell_length_c 7.806
_cell_angle_alpha 90.00
_cell_angle_beta 90.00
_cell_angle_gamma 90.00
_space_group_name_H-M_alt 'P 4 m m'
_space_group_IT_number 99
_space_group_name_Hall 'P 4 -2'
loop_
_atom_site_label
_atom_site_fract_x
_atom_site_fract_y
_atom_site_fract_z
_atom_site_occupancy
Nd1 0.000 0.000 0.000 1
Dy1 0.000 0.000 0.449 1
Mg1 0.500 0.500 0.715 1
Zn1 0.500 0.500 0.242 1

---

#2
# NdDyMgZn | Alexandria | GGA-PBE | optimized geometry
# Fermi-level density of states ... 16.55 states/eV/cell
# Calculated volume ... 25.8 A^3/atom
# Theoretical density ... 6.37 g/cm3
# Magnetic moment ... 0.00 μB per formula unit
data_NdDyMgZn
_chemical_formula_sum 'Nd4 Dy4 Mg4 Zn4'
_cell_length_a 7.448
_cell_length_b 7.448
_cell_length_c 7.448
_cell_angle_alpha 90.00
_cell_angle_beta 90.00
_cell_angle_gamma 90.00
_space_group_name_H-M_alt 'F -4 3 m'
_space_group_IT_number 216
_space_group_name_Hall 'F -4 2 3'
loop_
_atom_site_label
_atom_site_fract_x
_atom_site_fract_y
_atom_site_fract_z
_atom_site_occupancy
Nd1 0.000 0.000 0.000 1
Dy1 0.000 0.000 0.500 1
Mg1 0.250 0.250 0.250 1
Zn1 0.250 0.250 0.750 1

---

Least stable: #2